# FeCoNi3 (GGA-PBE, optimized geometry)
data_FeCoNi3
_cell_length_a 3.5826
_cell_length_b 17.4982
_cell_length_c 3.5324
_cell_angle_alpha 90.00
_cell_angle_beta 90.00
_cell_angle_gamma 90.00
_symmetry_space_group_name_H-M 'C m c m'
_symmetry_Int_Tables_number 63
_symmetry_space_group_name_Hall '-C 2c 2'
loop_
_atom_site_label
_atom_site_type_symbol
_atom_site_fract_x
_atom_site_fract_y
_atom_site_fract_z
Fe1 Fe 0.0000 0.1500 0.2500
Co1 Co 0.0000 0.0495 0.7500
Ni1 Ni 0.0000 0.2504 0.7500
Ni2 Ni 0.0000 0.3516 0.2500
Ni3 Ni 0.0000 0.4507 0.7500
# Energy of formation ... -52 meV/atom

=====

# BaCrCl (GGA-PBE, optimized geometry)
data_BaCrCl
_cell_length_a 7.7001
_cell_length_b 7.7001
_cell_length_c 7.7001
_cell_angle_alpha 90.00
_cell_angle_beta 90.00
_cell_angle_gamma 90.00
_symmetry_space_group_name_H-M 'F -4 3 m'
_symmetry_Int_Tables_number 216
_symmetry_space_group_name_Hall 'F -4 2 3'
loop_
_atom_site_label
_atom_site_type_symbol
_atom_site_fract_x
_atom_site_fract_y
_atom_site_fract_z
Ba1 Ba 0.0000 0.0000 0.0000
Cr1 Cr 0.2500 0.2500 0.7500
Cl1 Cl 0.0000 0.0000 0.5000
# Raw formation energy ... 0.0933 eV/atom

=====

Energy above the lowest structure with this stoichiometry, respectively: 0.000; 0.356 eV per atom.
Total magnetization, respectively: 25.818; 20.491 Bohr magnetons per cell.